Record 1
Below is an optimized crystal structure of Sc3CrCu, with properties calculated at the PBE level.

abc: 4.9362 4.9362 4.9362
angles: 90.00 90.00 90.00
With the nearest neighbours (Å) after each atom.
Element x y z (fractional)
Sc1 0.0000 0.0000 0.5000  2 Cu 2.47
Sc2 0.0000 0.5000 0.0000  2 Cu 2.47
Sc3 0.5000 0.0000 0.0000  2 Cu 2.47
Cr1 0.5000 0.5000 0.5000  12 Sc 3.49
Cu1 0.0000 0.0000 0.0000  6 Sc 2.47

The calculation puts the density of states at the Fermi level at 1.5743 states/eV/atom. For the energy of formation from the pure elements, the calculation gives 498 meV per atom.


Record 2
Below is an optimized crystal structure of K2Cr3Cl8, with properties calculated at the PBE level.

abc: 7.7825 7.7825 7.7352
angles: 103.14 103.14 54.41
With the nearest neighbours (Å) after each atom.
Element x y z (fractional)
K1 0.2227 0.2227 0.1634  6 Cl 3.10-3.26
K2 0.7773 0.7773 0.8366  6 Cl 3.10-3.26
Cr1 0.2502 0.7498 0.5000  4 Cl 2.40-2.42
Cr2 0.5000 0.5000 0.0000  4 Cl 2.37
Cr3 0.7498 0.2502 0.5000  4 Cl 2.40-2.42
Cl1 0.1127 0.1127 0.4778  2 Cr 2.40
Cl2 0.1779 0.6439 0.1146  1 Cr 2.37
Cl3 0.3561 0.8221 0.8854  1 Cr 2.37
Cl4 0.3907 0.3907 0.5455  2 Cr 2.42
Cl5 0.6093 0.6093 0.4545  2 Cr 2.42
Cl6 0.6439 0.1779 0.1146  1 Cr 2.37
Cl7 0.8221 0.3561 0.8854  1 Cr 2.37
Cl8 0.8873 0.8873 0.5222  2 Cr 2.40

The value obtained for the formation energy (no corrections) is -1.251 eV per atom. The calculation puts the density of states at the Fermi level at 0.1145 states/eV/atom.


Record 3
Below is an optimized crystal structure of TbPmIn6, with properties calculated at the PBE level.

abc: 4.6697 4.6697 9.3448
angles: 90.00 90.00 90.00
With the nearest neighbours (Å) after each atom.
Element x y z (fractional)
Tb1 0.0000 0.0000 0.0000  12 In 3.28-3.30
Pm1 0.0000 0.0000 0.5000  12 In 3.30-3.32
In1 0.0000 0.5000 0.2471  2 Tb 3.28, 8 In 3.28-3.32, 2 Pm 3.32
In2 0.0000 0.5000 0.7529  2 Tb 3.28, 8 In 3.28-3.32, 2 Pm 3.32
In3 0.5000 0.0000 0.2471  2 Tb 3.28, 8 In 3.28-3.32, 2 Pm 3.32
In4 0.5000 0.0000 0.7529  2 Tb 3.28, 8 In 3.28-3.32, 2 Pm 3.32
In5 0.5000 0.5000 0.0000  8 In 3.28, 4 Tb 3.30
In6 0.5000 0.5000 0.5000  4 Pm 3.30, 8 In 3.32

The calculation puts the density of states at the Fermi level at 0.3577 states/eV/atom. For the energy of formation from the pure elements, the calculation gives -448 meV per atom.


Record 4
Below is an optimized crystal structure of SrLaHg, with properties calculated at the PBE level.

abc: 7.5677 7.5677 7.5677
angles: 149.84 149.84 43.18
With the nearest neighbours (Å) after each atom.
Element x y z (fractional)
Sr1 0.0000 0.0000 0.0000  4 Hg 3.48, 1 La 3.86
La1 0.2741 0.2741 0.0000  4 Hg 3.30
Hg1 0.6487 0.6487 0.0000  4 La 3.30, 4 Sr 3.48

The calculation puts the density of states at the Fermi level at 0.7860 states/eV/atom. For the energy of formation from the pure elements, the calculation gives -306 meV per atom.


Record 5
Below is an optimized crystal structure of YCuSe2, with properties calculated at the PBE level.

abc: 4.8825 4.8825 4.8825
angles: 60.00 60.00 60.00
With the nearest neighbours (Å) after each atom.
Element x y z (fractional)
Y1 0.0000 0.0000 0.0000  8 Se 2.99
Cu1 0.5000 0.5000 0.5000  8 Se 2.99
Se1 0.2500 0.2500 0.2500  4 Cu 2.99, 4 Y 2.99
Se2 0.7500 0.7500 0.7500  4 Cu 2.99, 4 Y 2.99

The value obtained for the formation energy (no corrections) is -0.833 eV per atom. The calculation puts the density of states at the Fermi level at 0.0218 states/eV/atom.


Record 6
Below is an optimized crystal structure of KMgNi3, with properties calculated at the PBE level.

abc: 4.6901 4.6901 4.6901
angles: 90.00 90.00 90.00
With the nearest neighbours (Å) after each atom.
Element x y z (fractional)
K1 0.0000 0.0000 0.0000  12 Ni 3.32
Mg1 0.5000 0.5000 0.5000  6 Ni 2.35
Ni1 0.0000 0.5000 0.5000  2 Mg 2.35
Ni2 0.5000 0.0000 0.5000  2 Mg 2.35
Ni3 0.5000 0.5000 0.0000  2 Mg 2.35

The calculation puts the density of states at the Fermi level at 1.7293 states/eV/atom. For the energy of formation from the pure elements, the calculation gives 1013 meV per atom.


Record 7
Below is an optimized crystal structure of Ti3OsS, with properties calculated at the PBE level.

abc: 4.7493 4.7493 4.7493
angles: 90.00 90.00 90.00
With the nearest neighbours (Å) after each atom.
Element x y z (fractional)
Ti1 0.0000 0.0000 0.5000  2 Os 2.37
Ti2 0.0000 0.5000 0.0000  2 Os 2.37
Ti3 0.5000 0.0000 0.0000  2 Os 2.37
Os1 0.0000 0.0000 0.0000  6 Ti 2.37
S1 0.5000 0.5000 0.5000  12 Ti 3.36

The value obtained for the formation energy (no corrections) is 0.443 eV per atom. The calculation puts the density of states at the Fermi level at 0.8866 states/eV/atom.


Record 8
Below is an optimized crystal structure of La2CoSb, with properties calculated at the PBE level.

abc: 3.4282 3.4282 8.9290
angles: 90.00 90.00 90.00
With the nearest neighbours (Å) after each atom.
Element x y z (fractional)
La1 0.0000 0.0000 0.0000  4 Co 3.13, 1 Sb 3.18, 4 La 3.43
La2 0.5000 0.5000 0.3848  4 Sb 3.35, 4 La 3.43, 1 Co 3.52
Co1 0.5000 0.5000 0.7787  4 Sb 2.70
Sb1 0.0000 0.0000 0.6443  4 Co 2.70

The value obtained for the formation energy (no corrections) is -0.125 eV per atom. The calculation puts the density of states at the Fermi level at 1.1939 states/eV/atom.


Record 9
Below is an optimized crystal structure of PaZn3Pt, with properties calculated at the PBE level.

abc: 8.5264 3.5300 11.9620
angles: 90.00 90.00 90.00
With the nearest neighbours (Å) after each atom.
Element x y z (fractional)
Pa1 0.1353 0.2500 0.0171  2 Pt 2.83, 2 Pa 2.93
Pa2 0.3647 0.7500 0.5171  2 Pt 2.83, 2 Pa 2.93
Pa3 0.6353 0.2500 0.4829  2 Pt 2.83, 2 Pa 2.93
Pa4 0.8647 0.7500 0.9829  2 Pt 2.83, 2 Pa 2.93
Zn1 0.0695 0.2500 0.4181  3 Pt 2.61-2.67, 5 Zn 2.72-2.89
Zn2 0.0856 0.7500 0.2398  2 Pt 2.57-2.61, 6 Zn 2.77-2.88
Zn3 0.1603 0.7500 0.7973  2 Pt 2.69, 5 Zn 2.72-2.88
Zn4 0.3397 0.2500 0.2973  2 Pt 2.69, 5 Zn 2.72-2.88
Zn5 0.4144 0.2500 0.7398  2 Pt 2.57-2.61, 6 Zn 2.77-2.88
Zn6 0.4305 0.7500 0.9181  3 Pt 2.61-2.67, 5 Zn 2.72-2.89
Zn7 0.5695 0.2500 0.0819  3 Pt 2.61-2.67, 5 Zn 2.72-2.89
Zn8 0.5856 0.7500 0.2602  2 Pt 2.57-2.61, 6 Zn 2.77-2.88
Zn9 0.6603 0.7500 0.7027  2 Pt 2.69, 5 Zn 2.72-2.88
Zn10 0.8397 0.2500 0.2027  2 Pt 2.69, 5 Zn 2.72-2.88
Zn11 0.9144 0.2500 0.7602  2 Pt 2.57-2.61, 6 Zn 2.77-2.88
Zn12 0.9305 0.7500 0.5819  3 Pt 2.61-2.67, 5 Zn 2.72-2.89
Pt1 0.1571 0.2500 0.6274  7 Zn 2.57-2.69, 2 Pa 2.83
Pt2 0.3429 0.7500 0.1274  7 Zn 2.57-2.69, 2 Pa 2.83
Pt3 0.6571 0.2500 0.8726  7 Zn 2.57-2.69, 2 Pa 2.83
Pt4 0.8429 0.7500 0.3726  7 Zn 2.57-2.69, 2 Pa 2.83

The calculation puts the density of states at the Fermi level at 0.7454 states/eV/atom. For the energy of formation from the pure elements, the calculation gives -353 meV per atom.


Record 10
Below is an optimized crystal structure of TaCd2Mo, with properties calculated at the PBE level.

abc: 10.2101 10.2101 10.2101
angles: 16.46 16.46 16.46
With the nearest neighbours (Å) after each atom.
Element x y z (fractional)
Ta1 0.0000 0.0000 0.0000  6 Ta 2.92, 6 Cd 3.09
Cd1 0.2476 0.2476 0.2476  6 Cd 2.92, 3 Mo 2.97, 3 Ta 3.09
Cd2 0.7524 0.7524 0.7524  6 Cd 2.92, 3 Mo 2.97, 3 Ta 3.09
Mo1 0.5000 0.5000 0.5000  6 Mo 2.92, 6 Cd 2.97

The calculation puts the density of states at the Fermi level at 1.2262 states/eV/atom. For the energy of formation from the pure elements, the calculation gives 452 meV per atom.


Record 11
Below is an optimized crystal structure of Ac5TbZn6, with properties calculated at the PBE level.

abc: 9.4438 9.4438 5.4460
angles: 106.72 106.72 120.11
With the nearest neighbours (Å) after each atom.
Element x y z (fractional)
Ac1 0.0000 0.0000 0.0000  8 Zn 3.29-3.45
Ac2 0.1656 0.8344 0.5000  8 Zn 3.39-3.44
Ac3 0.3304 0.6696 0.0000  8 Zn 3.28-3.46
Ac4 0.6696 0.3304 0.0000  8 Zn 3.28-3.46
Ac5 0.8344 0.1656 0.5000  8 Zn 3.39-3.44
Tb1 0.5000 0.5000 0.5000  8 Zn 3.18-3.23
Zn1 0.1038 0.4214 0.2626  1 Tb 3.18, 7 Ac 3.28-3.46
Zn2 0.2743 0.2743 0.7746  2 Tb 3.23, 6 Ac 3.28-3.45, 1 Zn 3.48
Zn3 0.4214 0.1038 0.2626  1 Tb 3.18, 7 Ac 3.28-3.46
Zn4 0.5786 0.8962 0.7374  1 Tb 3.18, 7 Ac 3.28-3.46
Zn5 0.7257 0.7257 0.2254  2 Tb 3.23, 6 Ac 3.28-3.45, 1 Zn 3.48
Zn6 0.8962 0.5786 0.7374  1 Tb 3.18, 7 Ac 3.28-3.46

The calculation puts the density of states at the Fermi level at 0.8378 states/eV/atom. For the energy of formation from the pure elements, the calculation gives -248 meV per atom.


Record 12
Below is an optimized crystal structure of Pr2Ga4CoSn2, with properties calculated at the PBE level.

abc: 6.4588 6.4588 6.4588
angles: 119.79 119.79 90.37
With the nearest neighbours (Å) after each atom.
Element x y z (fractional)
Pr1 0.2500 0.7500 0.5000  8 Ga 3.23, 4 Sn 3.25
Pr2 0.7500 0.2500 0.5000  8 Ga 3.23, 4 Sn 3.25
Ga1 0.2324 0.2324 0.4649  1 Co 2.45
Ga2 0.2324 0.7676 0.0000  1 Co 2.45
Ga3 0.7676 0.2324 0.0000  1 Co 2.45
Ga4 0.7676 0.7676 0.5351  1 Co 2.45
Co1 0.5000 0.5000 0.0000  4 Ga 2.45, 2 Sn 2.57
Sn1 0.2182 0.2182 0.0000  1 Co 2.57
Sn2 0.7818 0.7818 0.0000  1 Co 2.57

The calculation puts the density of states at the Fermi level at 0.1645 states/eV/atom. For the energy of formation from the pure elements, the calculation gives -477 meV per atom.


E per entry: -6.05, -4.78, -3.67, -2.61, -5.22, -2.99, -7.37, -5.40, -4.23, -5.68, -2.98, -4.56 eV per atom